1.
## Sm2EuN (PBE-GGA)

Data for a relaxed Sm2EuN crystal.

a b c (Å): 3.624 3.624 9.770
angles (deg): 79.31 79.31 60.00
Each line ends with the local moment (μB).
Fractional coordinates of all 4 atoms:
Sm  0.286  0.286  0.143  0.07
Eu  0.500  0.500  0.500  7.03
N  0.000  0.000  0.000  0.01
Sm  0.714  0.714  0.857  0.07

For the total energy, the calculation gives -7.67 eV per atom. Its formation energy without anion corrections is -2.6 eV/f.u.

=====

2.
## Pm4Ho3Sb4 (PBE-GGA)

Data for a relaxed Pm4Ho3Sb4 crystal.

a b c (Å): 4.038 9.065 10.222
angles (deg): 116.32 101.39 90.00
Fractional coordinates of all 11 atoms:
Sb  0.500  0.790  0.000
Pm  0.668  0.494  0.336
Pm  0.332  0.506  0.664
Sb  0.500  0.210  0.000
Pm  0.332  0.158  0.664
Ho  0.096  0.096  0.192
Sb  0.274  0.774  0.547
Pm  0.668  0.842  0.336
Sb  0.726  0.226  0.453
Ho  0.904  0.904  0.808
Ho  0.000  0.500  0.000

For the total energy, the calculation gives -5.25 eV per atom. Its formation energy without anion corrections is -8.5 eV/f.u.

=====

3.
## MgBiAsBr2 (PBE-GGA)

Data for a relaxed MgBiAsBr2 crystal.

a b c (Å): 4.991 4.991 5.586
angles (deg): 90.00 90.00 90.00
Fractional coordinates of all 5 atoms:
Bi  0.500  0.500  0.500
As  0.000  0.000  0.500
Br  0.500  0.000  0.000
Mg  0.000  0.000  0.000
Br  0.000  0.500  0.000

For the total energy, the calculation gives -2.88 eV per atom. Its formation energy without anion corrections is -0.9 eV/f.u.

=====

4.
## CeSc14Al (PBE-GGA)

Data for a relaxed CeSc14Al crystal.

a b c (Å): 6.560 6.560 10.299
angles (deg): 90.00 90.00 119.37
Each line ends with the local moment (μB).
Fractional coordinates of all 16 atoms:
Sc  0.338  0.174  0.000  0.00
Sc  0.664  0.834  0.245  0.02
Sc  0.838  0.162  0.500  0.11
Sc  0.170  0.830  0.760  0.05
Sc  0.166  0.336  0.245  0.02
Sc  0.839  0.669  0.500  0.13
Al  0.338  0.662  0.000  0.00
Sc  0.166  0.336  0.755  0.02
Sc  0.170  0.830  0.240  0.05
Sc  0.666  0.334  0.260  0.02
Sc  0.331  0.161  0.500  0.13
Sc  0.826  0.662  0.000  0.00
Sc  0.336  0.664  0.500  0.16
Sc  0.666  0.334  0.740  0.02
Sc  0.664  0.834  0.755  0.02
Ce  0.821  0.179  0.000  -0.24

For the total energy, the calculation gives -6.18 eV per atom. Its formation energy is -39.3 meV per atom.

=====

5.
## La2GePd2 (PBE-GGA)

Data for a relaxed La2GePd2 crystal.

a b c (Å): 5.692 5.692 5.609
angles (deg): 59.51 59.51 90.00
Fractional coordinates of all 5 atoms:
Ge  0.000  0.000  0.000
La  0.750  0.250  0.500
La  0.250  0.750  0.500
Pd  0.664  0.664  0.671
Pd  0.336  0.336  0.329

For the total energy, the calculation gives -5.68 eV per atom. Its formation energy is -708.9 meV per atom.

=====

6.
## TaFeAs (PBE-GGA)

Data for a relaxed TaFeAs crystal.

a b c (Å): 3.752 6.298 7.113
angles (deg): 90.00 90.00 90.00
Fractional coordinates of all 12 atoms:
Fe  0.750  0.358  0.063
Ta  0.250  0.021  0.179
As  0.750  0.226  0.380
As  0.250  0.274  0.880
Fe  0.250  0.142  0.563
Ta  0.250  0.521  0.321
Fe  0.250  0.642  0.937
As  0.750  0.726  0.120
Ta  0.750  0.479  0.679
Ta  0.750  0.979  0.821
Fe  0.750  0.858  0.437
As  0.250  0.774  0.620

For the total energy, the calculation gives -8.72 eV per atom. Its formation energy is -396.6 meV per atom.

=====

7.
## NbO2F (PBE-GGA)

Data for a relaxed NbO2F crystal.

a b c (Å): 3.911 3.911 4.159
angles (deg): 90.00 90.00 90.00
Fractional coordinates of all 4 atoms:
O  0.000  0.500  0.000
F  0.000  0.000  0.500
Nb  0.000  0.000  0.000
O  0.500  0.000  0.000

For the total energy, the calculation gives -8.08 eV per atom. Its formation energy without anion corrections is -10.5 eV/f.u.

=====

8.
## SrYV3 (PBE-GGA)

Data for a relaxed SrYV3 crystal.

a b c (Å): 5.154 5.154 5.154
angles (deg): 90.00 90.00 90.00
Each line ends with the local moment (μB).
Fractional coordinates of all 5 atoms:
V  0.500  0.000  0.000  2.21
V  0.000  0.500  0.000  2.21
Sr  0.500  0.500  0.500  0.04
Y  0.000  0.000  0.000  0.18
V  0.000  0.000  0.500  2.21

For the total energy, the calculation gives -5.53 eV per atom. Its formation energy is 1573.8 meV per atom.